Run a
The following is a GGA-PBE calculation of a relaxed Ca2ZnCl6 crystal, from Alexandria via LeMat-Bulk.

**V**: 533.6 Å³ per cell
**DOS(E_F)**: 0.00 states/eV/f.u.

```
data_Ca2ZnCl6
_chemical_formula_sum 'Ca4 Zn2 Cl12'
_symmetry_space_group_name_H-M 'C 1 2/m 1'
_symmetry_Int_Tables_number 12
_symmetry_space_group_name_Hall '-C 2y'
_cell_length_a 13.771
_cell_length_b 3.880
_cell_length_c 11.422
_cell_angle_alpha 90.00
_cell_angle_beta 119.04
_cell_angle_gamma 90.00
loop_
_atom_site_label
_atom_site_fract_x
_atom_site_fract_y
_atom_site_fract_z
Ca1 0.191 0.000 0.314
Zn1 0.000 0.500 0.000
Cl1 0.014 0.500 0.218
Cl2 0.160 0.000 0.538
Cl3 0.191 0.500 0.112
```

=====

Run b
The following is a GGA-PBE calculation of a relaxed Ca2ZnCl6 crystal, from Alexandria via LeMat-Bulk.

**V**: 475.9 Å³ per cell
**DOS(E_F)**: 0.00 states/eV/f.u.

```
data_Ca2ZnCl6
_chemical_formula_sum 'Ca4 Zn2 Cl12'
_symmetry_space_group_name_H-M 'P 42/m n m'
_symmetry_Int_Tables_number 136
_symmetry_space_group_name_Hall '-P 4n 2n'
_cell_length_a 6.295
_cell_length_b 6.295
_cell_length_c 12.009
_cell_angle_alpha 90.00
_cell_angle_beta 90.00
_cell_angle_gamma 90.00
loop_
_atom_site_label
_atom_site_fract_x
_atom_site_fract_y
_atom_site_fract_z
Ca1 0.000 0.000 0.166
Zn1 0.000 0.000 0.500
Cl1 0.189 0.189 0.347
Cl2 0.212 0.212 0.000
```

=====

Most stable structure, least stable structure: run b, run a.

=====

Run a
The following is a GGA-PBE calculation of a relaxed CaZrCl crystal, from Alexandria via LeMat-Bulk.

**V**: 291.5 Å³ per cell
**DOS(E_F)**: 2.05 states/eV/f.u.

```
data_CaZrCl
_chemical_formula_sum 'Ca4 Zr4 Cl4'
_symmetry_space_group_name_H-M 'F m m 2'
_symmetry_Int_Tables_number 42
_symmetry_space_group_name_Hall 'F 2 -2'
_cell_length_a 3.810
_cell_length_b 5.514
_cell_length_c 13.875
_cell_angle_alpha 90.00
_cell_angle_beta 90.00
_cell_angle_gamma 90.00
loop_
_atom_site_label
_atom_site_fract_x
_atom_site_fract_y
_atom_site_fract_z
Ca1 0.000 0.000 0.000
Zr1 0.000 0.000 0.688
Cl1 0.000 0.000 0.340
```

=====

Run b
The following is a GGA-PBE calculation of a relaxed CaZrCl crystal, from Alexandria via LeMat-Bulk.

**V**: 286.6 Å³ per cell
**DOS(E_F)**: 2.51 states/eV/f.u.

```
data_CaZrCl
_chemical_formula_sum 'Ca4 Zr4 Cl4'
_symmetry_space_group_name_H-M 'F -4 3 m'
_symmetry_Int_Tables_number 216
_symmetry_space_group_name_Hall 'F -4 2 3'
_cell_length_a 6.594
_cell_length_b 6.594
_cell_length_c 6.594
_cell_angle_alpha 90.00
_cell_angle_beta 90.00
_cell_angle_gamma 90.00
loop_
_atom_site_label
_atom_site_fract_x
_atom_site_fract_y
_atom_site_fract_z
Ca1 0.000 0.000 0.000
Zr1 0.000 0.000 0.500
Cl1 0.250 0.250 0.250
```

=====

Most stable structure, least stable structure: run a, run b.